[1]
InTe4As2 | Alexandria via LeMat-Bulk | PBE | optimized geometry; total DFT energy (no corrections) = -3.5292 eV per atom; ΔE_f (raw) = -1.4 kJ per mole of atoms; volume = 411.7 Å³/cell; total moment = 0.0 μB/cell
1.0
-3.618 -1.895 -0.680
3.618 -0.175 -6.156
5.934 -12.709 3.847
Te As In
8 4 2
Cartesian
1.443 -6.408 -2.422
1.158 -7.302 1.584
4.491 -8.370 -0.567
6.051 -11.711 0.444
1.696 -3.309 0.199
-0.117 -3.068 -3.433
-1.809 -0.948 -0.340
4.238 -11.469 -3.188
0.847 -1.046 -1.592
2.804 -8.843 -2.877
3.130 -5.935 -0.112
5.087 -13.733 -1.397
2.960 -4.093 -4.341
2.974 -10.685 1.352

---

[2]
Ca2ThZrBi4 | Alexandria via LeMat-Bulk | PBE | optimized geometry; total DFT energy (no corrections) = -5.0562 eV per atom; volume = 262.1 Å³/cell; total moment = 0.0 μB/cell
1.0
4.495 0.000 0.000
0.000 7.755 0.132
0.000 -2.713 7.472
Th Ca Zr Bi
1 2 1 4
Cartesian
2.247 3.878 0.066
2.247 -1.356 3.736
0.000 2.521 3.802
0.000 0.000 0.000
2.247 3.882 5.829
0.000 5.248 1.908
0.000 -0.206 5.696
2.247 1.161 1.775

---

[3]
Th2MnPd | Alexandria via LeMat-Bulk | PBE | optimized geometry; relative energy among the computed polymorphs = 2.08 eV/f.u.; total DFT energy (no corrections) = -6.9569 eV per atom; volume = 98.3 Å³/cell; total moment = 2.7 μB/cell
1.0
3.329 0.000 0.000
1.664 2.883 0.000
1.664 0.961 10.240
Th Mn Pd
2 1 1
Cartesian
1.664 0.961 7.506
4.993 2.883 2.735
0.000 0.000 0.000
3.329 1.922 5.120

---

[4]
Ta3FeSb | Alexandria via LeMat-Bulk | PBE | optimized geometry; relative energy among the computed polymorphs = 0.00 eV/f.u.; total DFT energy (no corrections) = -9.0427 eV per atom; ΔE_f (raw) = 56.5 kJ per mole of atoms; volume = 98.5 Å³/cell; total moment = 0.0 μB/cell
1.0
4.618 0.000 0.000
0.000 4.618 0.000
0.000 0.000 4.618
Ta Sb Fe
3 1 1
Cartesian
0.000 2.309 0.000
0.000 0.000 2.309
2.309 0.000 0.000
2.309 2.309 2.309
0.000 0.000 0.000

---

[5]
Pm6Sm3Y2Ho | Alexandria via LeMat-Bulk | PBE | optimized geometry; total DFT energy (no corrections) = -5.0012 eV per atom; volume = 402.8 Å³/cell; total moment = 0.0 μB/cell
1.0
6.283 -0.001 0.009
-3.141 5.442 0.009
-1.063 -1.840 11.776
Sm Y Pm Ho
3 2 6 1
Cartesian
4.182 -0.014 5.897
1.040 1.801 5.897
-2.102 3.615 5.897
0.001 3.627 0.009
3.141 1.814 0.009
2.095 3.627 2.934
-0.006 3.606 8.869
-0.015 -0.026 8.860
2.086 -0.005 2.925
3.126 1.797 8.869
-1.046 1.805 2.925
0.000 0.000 0.000

---

[6]
Pm6Pr3NdDy2 | Alexandria via LeMat-Bulk | PBE | optimized geometry; total DFT energy (no corrections) = -4.7191 eV per atom; volume = 413.6 Å³/cell; total moment = 0.0 μB/cell
1.0
-5.329 -3.046 -1.533
3.991 -2.529 4.208
-5.297 7.477 7.927
Dy Pm Pr Nd
2 6 3 1
Cartesian
0.884 -2.702 2.294
-2.222 -2.874 0.381
-0.083 0.538 3.581
-2.308 -2.329 3.957
-4.327 4.230 6.645
-3.197 0.365 1.663
-6.552 1.363 7.021
-3.438 1.536 8.939
-0.213 1.123 7.213
-6.422 0.778 3.389
-3.318 0.951 5.301
0.000 0.000 0.000

---

[7]
CuHPd3 | Alexandria via LeMat-Bulk | PBE | optimized geometry; relative energy among the computed polymorphs = 0.00 eV/f.u.; total DFT energy (no corrections) = -4.6869 eV per atom; volume = 61.8 Å³/cell; total moment = 0.0 μB/cell
1.0
-1.355 -3.709 0.207
2.606 -1.107 -2.761
2.647 -0.810 2.824
Cu Pd H
1 3 1
Cartesian
1.949 -2.813 0.135
1.303 -0.553 -1.380
1.324 -0.405 1.412
-0.678 -1.854 0.104
0.000 0.000 0.000

---

[8]
Sc6Al2C | Alexandria via LeMat-Bulk | PBE | optimized geometry; total DFT energy (no corrections) = -6.5256 eV per atom; volume = 360.5 Å³/cell; total moment = 0.0 μB/cell
1.0
-2.361 5.830 0.813
-3.212 -2.010 5.086
6.970 2.095 5.231
C Sc Al
2 12 4
Cartesian
-2.787 1.910 2.949
3.485 1.047 2.615
0.914 4.946 4.480
2.464 3.489 6.890
1.765 0.531 1.326
-0.716 3.926 7.061
5.556 3.063 6.727
0.483 0.968 6.649
2.113 1.988 4.069
3.974 2.073 9.232
-0.369 5.383 9.804
-1.068 2.425 4.240
-4.159 2.851 4.402
-2.577 3.841 1.897
-2.225 5.348 4.664
3.622 0.566 6.465
0.835 2.476 9.415
0.562 3.438 1.715